## TiNbMo2As (meta-GGA SCAN)

Data for a PBEsol-optimized structure of TiNbMo2As.

Lattice parameters (Å, degrees): 4.528 4.528 4.548 90.00 90.00 90.00
Sites, in units of the cell vectors:
1 Ti 0.000 0.000 0.000
2 Nb 0.500 0.500 0.500
3 Mo 0.000 0.500 0.000
4 Mo 0.500 0.000 0.000
5 As 0.000 0.000 0.500

Values from the calculation:
For the formation energy, the calculation gives 1.2941 eV/atom. For the calculated volume, the calculation gives 93.2 Å³/cell.